Computed, not measured: a relaxed structure of MgVIr at the GGA-PBE level of DFT.

Structure (POSCAR):
```
MgVIr
1.0
5.078 -1.414 0.000
5.078 1.414 0.000
-0.850 0.000 6.597
Mg V Ir
2 2 2
Direct
0.124 0.124 0.474 Mg
0.876 0.876 0.526 Mg
0.286 0.286 0.872 V
0.714 0.714 0.128 V
0.447 0.447 0.185 Ir
0.553 0.553 0.815 Ir
```

Computed properties:
E_form: 30 meV/atom
Symmetry: C2/m, No. 12
Calculated density: 9374 kg/m3
DOS(E_F): 1.20 states/eV/atom

***

Computed, not measured: a relaxed structure of MgV4Ir5 at the GGA-PBE level of DFT.

Structure (POSCAR):
```
MgV4Ir5
1.0
2.798 0.000 0.000
0.000 2.798 0.000
0.000 0.000 18.218
Mg V Ir
1 4 5
Direct
0.000 0.000 0.000 Mg
0.000 0.000 0.201 V
0.000 0.000 0.401 V
0.000 0.000 0.599 V
0.000 0.000 0.799 V
0.500 0.500 0.110 Ir
0.500 0.500 0.301 Ir
0.500 0.500 0.500 Ir
0.500 0.500 0.699 Ir
0.500 0.500 0.890 Ir
```

Computed properties:
E_form: -480 meV/atom
Symmetry: P4/mmm, No. 123
Calculated density: 13848 kg/m3
DOS(E_F): 1.11 states/eV/atom

***

Computed, not measured: a relaxed structure of MgVZnIr at the GGA-PBE level of DFT.

Structure (POSCAR):
```
MgVZnIr
1.0
0.000 3.069 3.069
3.069 0.000 3.069
3.069 3.069 0.000
Mg V Zn Ir
1 1 1 1
Direct
0.000 0.000 0.000 Mg
0.250 0.250 0.250 V
0.750 0.750 0.750 Zn
0.500 0.500 0.500 Ir
```

Computed properties:
E_form: -254 meV/atom
Symmetry: F-43m, No. 216
Calculated density: 9564 kg/m3
DOS(E_F): 0.01 states/eV/atom

***

Computed, not measured: a relaxed structure of MgZrVIr at the GGA-PBE level of DFT.

Structure (POSCAR):
```
MgZrVIr
1.0
0.000 3.250 3.250
3.250 0.000 3.250
3.250 3.250 0.000
Mg Zr V Ir
1 1 1 1
Direct
0.000 0.000 0.000 Mg
0.500 0.500 0.500 Zr
0.750 0.750 0.750 V
0.250 0.250 0.250 Ir
```

Computed properties:
E_form: -263 meV/atom
Symmetry: F-43m, No. 216
Calculated density: 8677 kg/m3
DOS(E_F): 1.11 states/eV/atom

***

Computed, not measured: a relaxed structure of Mg3IrW at the GGA-PBE level of DFT.

Structure (POSCAR):
```
Mg3IrW
1.0
5.024 0.000 0.000
0.000 5.024 0.000
0.000 0.000 5.024
Mg Ir W
3 1 1
Direct
0.000 0.000 0.500 Mg
0.000 0.500 0.000 Mg
0.500 0.000 0.000 Mg
0.500 0.500 0.500 Ir
0.000 0.000 0.000 W
```

Computed properties:
E_form: 1988 meV/atom
Offset from the most stable computed form: 784 meV per atom
Symmetry: Pm-3m, No. 221
Calculated density: 5880 kg/m3
DOS(E_F): 2.12 states/eV/atom

***

Computed, not measured: a relaxed structure of Mg3IrW at the GGA-PBE level of DFT.

Structure (POSCAR):
```
Mg3IrW
1.0
4.782 0.000 0.000
0.000 4.782 0.000
0.000 0.000 4.782
Mg Ir W
3 1 1
Direct
0.000 0.000 0.500 Mg
0.000 0.500 0.000 Mg
0.500 0.000 0.000 Mg
0.000 0.000 0.000 Ir
0.500 0.500 0.500 W
```

Computed properties:
E_form: 1204 meV/atom
Offset from the most stable computed form: 0 meV per atom
Symmetry: Pm-3m, No. 221
Calculated density: 6816 kg/m3
DOS(E_F): 2.09 states/eV/atom

***

Computed, not measured: a relaxed structure of MgIr2W at the GGA-PBE level of DFT.

Structure (POSCAR):
```
MgIr2W
1.0
2.761 0.000 0.000
0.000 2.761 0.000
0.000 0.000 8.235
Mg Ir W
1 2 1
Direct
0.000 0.000 0.000 Mg
0.000 0.000 0.525 Ir
0.500 0.500 0.758 Ir
0.500 0.500 0.283 W
```

Computed properties:
E_form: 80 meV/atom
Symmetry: P4mm, No. 99
Calculated density: 15679 kg/m3
DOS(E_F): 1.03 states/eV/atom

***

Computed, not measured: a relaxed structure of MgIr2W at the GGA-PBE level of DFT.

Structure (POSCAR):
```
MgIr2W
1.0
1.468 -2.319 0.000
1.468 2.319 0.000
0.000 0.000 9.258
Mg Ir W
1 2 1
Direct
0.000 0.000 0.000 Mg
0.000 0.000 0.491 Ir
0.500 0.500 0.236 Ir
0.500 0.500 0.729 W
```

Computed properties:
E_form: 203 meV/atom
Symmetry: Cmm2, No. 35
Calculated density: 15607 kg/m3
DOS(E_F): 0.78 states/eV/atom

***

Computed, not measured: a relaxed structure of MgIr2W at the GGA-PBE level of DFT.

Structure (POSCAR):
```
MgIr2W
1.0
4.736 -1.404 0.000
4.736 1.404 0.000
-0.850 0.000 4.655
Mg Ir W
1 2 1
Direct
0.000 0.000 0.000 Mg
0.249 0.249 0.830 Ir
0.519 0.519 0.505 Ir
0.775 0.775 0.335 W
```

Computed properties:
E_form: -199 meV/atom
Symmetry: Cm, No. 8
Calculated density: 15894 kg/m3
DOS(E_F): 0.60 states/eV/atom

***

Computed, not measured: a relaxed structure of MgIr2W at the GGA-PBE level of DFT.

Structure (POSCAR):
```
MgIr2W
1.0
-3.592 3.592 2.760
3.592 -3.592 2.760
3.592 3.592 -2.760
Mg Ir W
2 4 2
Direct
0.000 0.000 0.000 Mg
0.750 0.250 0.500 Mg
0.161 0.125 0.536 Ir
0.375 0.839 0.964 Ir
0.589 0.625 0.464 Ir
0.875 0.411 0.036 Ir
0.250 0.750 0.500 W
0.500 0.500 0.000 W
```

Computed properties:
E_form: 340 meV/atom
Symmetry: I-42d, No. 122
Calculated density: 13818 kg/m3
DOS(E_F): 0.18 states/eV/atom

***

Computed, not measured: a relaxed structure of MgIrW3 at the GGA-PBE level of DFT.

Structure (POSCAR):
```
MgIrW3
1.0
4.790 0.000 0.000
0.000 4.790 0.000
0.000 0.000 4.790
Mg Ir W
1 1 3
Direct
0.000 0.000 0.000 Mg
0.500 0.500 0.500 Ir
0.000 0.500 0.500 W
0.500 0.000 0.500 W
0.500 0.500 0.000 W
```

Computed properties:
E_form: 1751 meV/atom
Offset from the most stable computed form: 0 meV per atom
Symmetry: Pm-3m, No. 221
Calculated density: 11607 kg/m3
DOS(E_F): 1.01 states/eV/atom

***

Computed, not measured: a relaxed structure of MgIr2W at the GGA-PBE level of DFT.

Structure (POSCAR):
```
MgIr2W
1.0
1.426 0.823 8.851
-1.426 0.823 8.851
0.000 -1.647 8.851
Mg Ir W
1 2 1
Direct
0.000 0.000 0.000 Mg
0.247 0.247 0.247 Ir
0.753 0.753 0.753 Ir
0.500 0.500 0.500 W
```

Computed properties:
E_form: -141 meV/atom
Symmetry: R-3m, No. 166
Calculated density: 15775 kg/m3
DOS(E_F): 1.40 states/eV/atom